*P*
Entry from the Alexandria database: Be2NbOs after structural relaxation (PBE-GGA).

Summary:
Symmetry = Fm-3m (225)
M_tot = 0.00 μB per cell
ρ = 10.36 g cm⁻³

abc: 4.087 4.087 4.087
angles: 60.00 60.00 60.00
Element x y z (fractional)
Be  0.250  0.250  0.250
Be  0.750  0.750  0.750
Nb  0.000  0.000  0.000
Os  0.500  0.500  0.500


*Q*
Entry from the Alexandria database: Be2NbOs after structural relaxation (PBE-GGA).

Summary:
Symmetry = Pnma (62)
M_tot = 0.00 μB per cell
ρ = 10.14 g cm⁻³

abc: 6.670 3.192 9.270
angles: 90.00 90.00 90.00
Element x y z (fractional)
Be  0.148  0.250  0.175
Be  0.248  0.750  0.060
Be  0.252  0.250  0.560
Be  0.352  0.750  0.675
Be  0.648  0.250  0.325
Be  0.748  0.750  0.440
Be  0.752  0.250  0.940
Be  0.852  0.750  0.825
Nb  0.156  0.250  0.860
Nb  0.344  0.750  0.360
Nb  0.656  0.250  0.640
Nb  0.844  0.750  0.140
Os  0.014  0.750  0.614
Os  0.486  0.250  0.114
Os  0.514  0.750  0.886
Os  0.986  0.250  0.386


Of them, the most stable is *Q* and the least stable is *P*.


*P*
Entry from the Alexandria database: BeNbOs3 after structural relaxation (PBE-GGA).

Summary:
Symmetry = Pm-3m (221)
M_tot = 0.00 μB per cell
ρ = 15.83 g cm⁻³

abc: 4.132 4.132 4.132
angles: 90.00 90.00 90.00
Element x y z (fractional)
Be  0.000  0.000  0.000
Nb  0.500  0.500  0.500
Os  0.000  0.000  0.500
Os  0.000  0.500  0.000
Os  0.500  0.000  0.000


*Q*
Entry from the Alexandria database: BeNbOs3 after structural relaxation (PBE-GGA).

Summary:
Symmetry = Pm-3m (221)
M_tot = 0.89 μB per cell
ρ = 10.53 g cm⁻³

abc: 4.734 4.734 4.734
angles: 90.00 90.00 90.00
Element x y z (fractional)
Be  0.000  0.000  0.000
Nb  0.500  0.500  0.500
Os  0.000  0.500  0.500
Os  0.500  0.000  0.500
Os  0.500  0.500  0.000


Of them, the most stable is *P* and the least stable is *Q*.


*P*
Entry from the Alexandria database: BeNb3P after structural relaxation (PBE-GGA).

Summary:
Symmetry = C2/m (12)
M_tot = 0.00 μB per cell
ρ = 6.95 g cm⁻³

abc: 8.971 8.971 5.110
angles: 98.36 98.36 22.00
Element x y z (fractional)
Be  0.235  0.235  0.107
Be  0.765  0.765  0.893
Nb  0.001  0.001  0.245
Nb  0.189  0.189  0.586
Nb  0.370  0.370  0.927
Nb  0.630  0.630  0.073
Nb  0.811  0.811  0.414
Nb  0.999  0.999  0.755
P  0.414  0.414  0.450
P  0.586  0.586  0.550


*Q*
Entry from the Alexandria database: BeNb3P after structural relaxation (PBE-GGA).

Summary:
Symmetry = Pm-3m (221)
M_tot = 0.00 μB per cell
ρ = 6.41 g cm⁻³

abc: 4.355 4.355 4.355
angles: 90.00 90.00 90.00
Element x y z (fractional)
Be  0.000  0.000  0.000
Nb  0.000  0.000  0.500
Nb  0.000  0.500  0.000
Nb  0.500  0.000  0.000
P  0.500  0.500  0.500


Of them, the most stable is *P* and the least stable is *Q*.


*P*
Entry from the Alexandria database: BeNb2Pb after structural relaxation (PBE-GGA).

Summary:
Symmetry = I-42d (122)
M_tot = 0.00 μB per cell
ρ = 8.64 g cm⁻³

abc: 10.452 10.452 10.452
angles: 158.41 158.41 30.72
Element x y z (fractional)
Be  0.000  0.000  0.000
Be  0.750  0.250  0.500
Nb  0.115  0.625  0.990
Nb  0.375  0.365  0.490
Nb  0.635  0.125  0.010
Nb  0.875  0.885  0.510
Pb  0.250  0.750  0.500
Pb  0.500  0.500  0.000


*Q*
Entry from the Alexandria database: BeNb2Pb after structural relaxation (PBE-GGA).

Summary:
Symmetry = Fm-3m (225)
M_tot = 0.00 μB per cell
ρ = 9.37 g cm⁻³

abc: 4.653 4.653 4.653
angles: 60.00 60.00 60.00
Element x y z (fractional)
Be  0.000  0.000  0.000
Nb  0.250  0.250  0.250
Nb  0.750  0.750  0.750
Pb  0.500  0.500  0.500


Of them, the most stable is *Q* and the least stable is *P*.


*P*
Entry from the Alexandria database: Be3NbPb after structural relaxation (PBE-GGA).

Summary:
Symmetry = Pm-3m (221)
M_tot = 0.00 μB per cell
ρ = 6.04 g cm⁻³

abc: 4.479 4.479 4.479
angles: 90.00 90.00 90.00
Element x y z (fractional)
Be  0.000  0.000  0.500
Be  0.000  0.500  0.000
Be  0.500  0.000  0.000
Nb  0.500  0.500  0.500
Pb  0.000  0.000  0.000


*Q*
Entry from the Alexandria database: Be3NbPb after structural relaxation (PBE-GGA).

Summary:
Symmetry = Pm-3m (221)
M_tot = 0.00 μB per cell
ρ = 5.57 g cm⁻³

abc: 4.604 4.604 4.604
angles: 90.00 90.00 90.00
Element x y z (fractional)
Be  0.000  0.000  0.500
Be  0.000  0.500  0.000
Be  0.500  0.000  0.000
Nb  0.000  0.000  0.000
Pb  0.500  0.500  0.500


Of them, the most stable is *Q* and the least stable is *P*.


*P*
Entry from the Alexandria database: BeNbPd3 after structural relaxation (PBE-GGA).

Summary:
Symmetry = Pm-3m (221)
M_tot = 0.00 μB per cell
ρ = 9.19 g cm⁻³

abc: 4.237 4.237 4.237
angles: 90.00 90.00 90.00
Element x y z (fractional)
Be  0.000  0.000  0.000
Nb  0.500  0.500  0.500
Pd  0.000  0.000  0.500
Pd  0.000  0.500  0.000
Pd  0.500  0.000  0.000


*Q*
Entry from the Alexandria database: BeNbPd3 after structural relaxation (PBE-GGA).

Summary:
Symmetry = Pm-3m (221)
M_tot = 0.00 μB per cell
ρ = 6.24 g cm⁻³

abc: 4.821 4.821 4.821
angles: 90.00 90.00 90.00
Element x y z (fractional)
Be  0.000  0.000  0.000
Nb  0.500  0.500  0.500
Pd  0.000  0.500  0.500
Pd  0.500  0.000  0.500
Pd  0.500  0.500  0.000


Of them, the most stable is *P* and the least stable is *Q*.


*P*
Entry from the Alexandria database: Be3NbPd after structural relaxation (PBE-GGA).

Summary:
Symmetry = Pm-3m (221)
M_tot = 0.00 μB per cell
ρ = 5.52 g cm⁻³

abc: 4.085 4.085 4.085
angles: 90.00 90.00 90.00
Element x y z (fractional)
Be  0.000  0.000  0.500
Be  0.000  0.500  0.000
Be  0.500  0.000  0.000
Nb  0.500  0.500  0.500
Pd  0.000  0.000  0.000


*Q*
Entry from the Alexandria database: Be3NbPd after structural relaxation (PBE-GGA).

Summary:
Symmetry = Pm-3m (221)
M_tot = 0.00 μB per cell
ρ = 4.67 g cm⁻³

abc: 4.317 4.317 4.317
angles: 90.00 90.00 90.00
Element x y z (fractional)
Be  0.000  0.000  0.500
Be  0.000  0.500  0.000
Be  0.500  0.000  0.000
Nb  0.000  0.000  0.000
Pd  0.500  0.500  0.500


Of them, the most stable is *P* and the least stable is *Q*.


*P*
Entry from the Alexandria database: Be2NbPt after structural relaxation (PBE-GGA).

Summary:
Symmetry = I-42d (122)
M_tot = 0.00 μB per cell
ρ = 8.54 g cm⁻³

abc: 8.507 8.507 8.507
angles: 153.90 153.90 37.24
Element x y z (fractional)
Be  0.017  0.625  0.892
Be  0.375  0.267  0.392
Be  0.733  0.125  0.108
Be  0.875  0.983  0.608
Nb  0.250  0.750  0.500
Nb  0.500  0.500  0.000
Pt  0.000  0.000  0.000
Pt  0.750  0.250  0.500


*Q*
Entry from the Alexandria database: Be2NbPt after structural relaxation (PBE-GGA).

Summary:
Symmetry = P4/mmm (123)
M_tot = 0.00 μB per cell
ρ = 10.16 g cm⁻³

abc: 2.823 2.823 6.276
angles: 90.00 90.00 90.00
Element x y z (fractional)
Be  0.000  0.000  0.217
Be  0.000  0.000  0.783
Nb  0.500  0.500  0.500
Pt  0.500  0.500  0.000


*R*
Entry from the Alexandria database: Be2NbPt after structural relaxation (PBE-GGA).

Summary:
Symmetry = Fm-3m (225)
M_tot = 1.16 μB per cell
ρ = 10.19 g cm⁻³

abc: 4.132 4.132 4.132
angles: 60.00 60.00 60.00
Element x y z (fractional)
Be  0.250  0.250  0.250
Be  0.750  0.750  0.750
Nb  0.000  0.000  0.000
Pt  0.500  0.500  0.500


Of them, the most stable is *Q* and the least stable is *P*.


*P*
Entry from the Alexandria database: Be2NbPt2 after structural relaxation (PBE-GGA).

Summary:
Symmetry = I4/mmm (139)
M_tot = 0.00 μB per cell
ρ = 11.77 g cm⁻³

abc: 6.546 6.546 6.546
angles: 149.81 149.81 43.21
Element x y z (fractional)
Be  0.250  0.750  0.500
Be  0.750  0.250  0.500
Nb  0.000  0.000  0.000
Pt  0.386  0.386  0.000
Pt  0.614  0.614  0.000


*Q*
Entry from the Alexandria database: Be2NbPt2 after structural relaxation (PBE-GGA).

Summary:
Symmetry = P4/mbm (127)
M_tot = 0.00 μB per cell
ρ = 12.27 g cm⁻³

abc: 7.079 7.079 2.707
angles: 90.00 90.00 90.00
Element x y z (fractional)
Be  0.160  0.340  0.000
Be  0.340  0.840  0.000
Be  0.660  0.160  0.000
Be  0.840  0.660  0.000
Nb  0.000  0.000  0.500
Nb  0.500  0.500  0.500
Pt  0.138  0.638  0.500
Pt  0.362  0.138  0.500
Pt  0.638  0.862  0.500
Pt  0.862  0.362  0.500


Of them, the most stable is *Q* and the least stable is *P*.


*P*
Entry from the Alexandria database: BeNbPt after structural relaxation (PBE-GGA).

Summary:
Symmetry = Pnma (62)
M_tot = 0.00 μB per cell
ρ = 11.88 g cm⁻³

abc: 6.426 3.567 7.244
angles: 90.00 90.00 90.00
Element x y z (fractional)
Be  0.224  0.250  0.127
Be  0.276  0.750  0.627
Be  0.724  0.250  0.373
Be  0.776  0.750  0.873
Nb  0.020  0.750  0.333
Nb  0.480  0.250  0.833
Nb  0.520  0.750  0.167
Nb  0.980  0.250  0.667
Pt  0.151  0.750  0.932
Pt  0.349  0.250  0.432
Pt  0.651  0.750  0.568
Pt  0.849  0.250  0.068


*Q*
Entry from the Alexandria database: BeNbPt after structural relaxation (PBE-GGA).

Summary:
Symmetry = Pmma (51)
M_tot = 0.00 μB per cell
ρ = 11.86 g cm⁻³

abc: 10.883 3.626 6.320
angles: 90.00 90.00 90.00
Element x y z (fractional)
Be  0.094  0.000  0.053
Be  0.250  0.500  0.570
Be  0.406  0.000  0.053
Be  0.594  0.000  0.947
Be  0.750  0.500  0.430
Be  0.906  0.000  0.947
Nb  0.039  0.500  0.777
Nb  0.250  0.500  0.147
Nb  0.461  0.500  0.777
Nb  0.539  0.500  0.223
Nb  0.750  0.500  0.853
Nb  0.961  0.500  0.223
Pt  0.121  0.000  0.425
Pt  0.250  0.000  0.808
Pt  0.379  0.000  0.425
Pt  0.621  0.000  0.575
Pt  0.750  0.000  0.192
Pt  0.879  0.000  0.575


Of them, the most stable is *P* and the least stable is *Q*.


*P*
Entry from the Alexandria database: RbBeNb after structural relaxation (PBE-GGA).

Summary:
Symmetry = Cmcm (63)
M_tot = 0.00 μB per cell
ρ = 2.92 g cm⁻³

abc: 10.749 10.749 4.468
angles: 90.00 90.00 155.62
Element x y z (fractional)
Rb  0.149  0.851  0.750
Rb  0.851  0.149  0.250
Be  0.000  0.000  0.000
Be  0.000  0.000  0.500
Nb  0.475  0.525  0.750
Nb  0.525  0.475  0.250


*Q*
Entry from the Alexandria database: RbBeNb after structural relaxation (PBE-GGA).

Summary:
Symmetry = P1 (1)
M_tot = 0.00 μB per cell
ρ = 3.56 g cm⁻³

abc: 3.921 3.922 13.228
angles: 93.50 93.73 119.96
Element x y z (fractional)
Rb  0.000  0.000  0.000
Rb  0.276  0.271  0.645
Be  0.517  0.849  0.432
Be  0.850  0.516  0.433
Nb  0.151  0.150  0.355
Nb  0.767  0.434  0.237


Of them, the most stable is *Q* and the least stable is *P*.